Record 1
DFT (PBE) results for a relaxed Tm2ScAl6 crystal.

Summary:
The calculation puts the energy at -4.660 eV per atom. The formation enthalpy at 0 K is -0.468 eV per atom.

Cell: 3.3295 7.8340 7.8340 Å, 120.00 90.00 90.00°
With the nearest neighbours (Å) after each atom.
Fractional coordinates of all 9 atoms:
1 Sc 0.0000 0.0000 0.0000  12 Al 3.08, 2 Sc 3.33
2 Tm 0.0000 0.3333 0.6667  12 Al 3.11, 2 Tm 3.33
3 Tm 0.0000 0.6667 0.3333  12 Al 3.11, 2 Tm 3.33
4 Al 0.5000 0.0000 0.6692  3 Al 2.59-2.65
5 Al 0.5000 0.3308 0.0000  3 Al 2.59-2.65
6 Al 0.5000 0.6692 0.6692  3 Al 2.59-2.65
7 Al 0.5000 0.3308 0.3308  3 Al 2.59-2.65
8 Al 0.5000 0.6692 0.0000  3 Al 2.59-2.65
9 Al 0.5000 0.0000 0.3308  3 Al 2.59-2.65

=====

Record 2
DFT (PBE) results for a relaxed CuIrRu2 crystal.

Summary:
For the excess energy over the best structure of this formula in the dataset, the calculation gives 0 meV per atom. The calculation puts the energy at -7.748 eV per atom. The formation enthalpy at 0 K is 0.129 eV per atom.

Cell: 3.7739 2.7233 5.9871 Å, 62.84 90.00 90.00°
With the nearest neighbours (Å) after each atom.
Fractional coordinates of all 4 atoms:
1 Cu 0.0000 0.4995 0.5004  6 Ru 2.63-2.69, 4 Ir 2.66, 2 Cu 2.72
2 Ir 0.5000 0.7590 0.7425  6 Ru 2.62-2.72, 4 Cu 2.66, 2 Ir 2.72
3 Ru 0.0000 0.9937 0.0061  2 Cu 2.63-2.69, 6 Ru 2.67-2.72, 4 Ir 2.72
4 Ru 0.5000 0.2478 0.2510  2 Ir 2.62-2.71, 6 Ru 2.67-2.72, 4 Cu 2.68

=====

Record 3
DFT (PBE) results for a relaxed SiSnAsSe2 crystal.

Summary:
The value obtained for the uncorrected formation energy is 0.212 eV/atom. For the excess energy over the best structure of this formula in the dataset, the calculation gives 0 meV per atom. The calculation puts the energy at -3.997 eV per atom.

Cell: 4.9061 4.9061 4.8220 Å, 90.00 90.00 90.00°
With the nearest neighbours (Å) after each atom.
Fractional coordinates of all 5 atoms:
1 Si 0.0000 0.0000 0.0000  2 As 2.41, 4 Se 2.45
2 Se 0.0000 0.5000 0.0000  2 Si 2.45
3 Se 0.5000 0.0000 0.0000  2 Si 2.45
4 Sn 0.5000 0.5000 0.5000  8 Se 3.44, 4 As 3.47
5 As 0.0000 0.0000 0.5000  2 Si 2.41

=====

Record 4
DFT (PBE) results for a relaxed PmSiBr2 crystal.

Summary:
The value obtained for the uncorrected formation energy is -0.541 eV/atom. The calculation puts the energy at -3.921 eV per atom.

Cell: 3.6239 3.6324 10.7347 Å, 110.13 89.90 119.61°
With the nearest neighbours (Å) after each atom.
Fractional coordinates of all 4 atoms:
1 Br 0.5190 0.5485 0.7677  1 Si 2.81, 3 Pm 2.98-2.99
2 Br 0.8994 0.3011 0.3369  1 Si 2.81, 3 Pm 2.98-2.99
3 Si 0.7089 0.9245 0.0522  2 Br 2.81
4 Pm 0.7092 0.9248 0.5523  6 Br 2.98-2.99

=====

Record 5
DFT (PBE) results for a relaxed TaPAu2 crystal.

Summary:
The calculation puts the energy at -5.518 eV per atom. The formation enthalpy at 0 K is 0.436 eV per atom.

Cell: 5.0934 5.0934 2.7771 Å, 90.00 90.00 90.00°
With the nearest neighbours (Å) after each atom.
Fractional coordinates of all 4 atoms:
1 Au 0.0000 0.5000 0.0000  2 Au 2.78, 4 P 2.90, 4 Ta 2.90
2 Au 0.5000 0.0000 0.0000  2 Au 2.78, 4 Ta 2.90, 4 P 2.90
3 P 0.5000 0.5000 0.5000  2 P 2.78, 8 Au 2.90
4 Ta 0.0000 0.0000 0.5000  2 Ta 2.78, 8 Au 2.90

=====

Record 6
DFT (PBE) results for a relaxed InHg2I2 crystal.

Summary:
The value obtained for the uncorrected formation energy is -0.179 eV/atom. For the excess energy over the best structure of this formula in the dataset, the calculation gives 67 meV per atom. The calculation puts the energy at -1.468 eV per atom.

Cell: 4.1705 4.1705 10.5712 Å, 78.62 78.62 90.00°
With the nearest neighbours (Å) after each atom.
Fractional coordinates of all 5 atoms:
1 Hg 0.7500 0.2500 0.5000  4 Hg 2.95
2 Hg 0.2500 0.7500 0.5000  4 Hg 2.95
3 I 0.4042 0.4042 0.1916  4 In 3.53, 4 Hg 3.76, 1 I 3.89
4 I 0.5958 0.5958 0.8084  4 In 3.53, 4 Hg 3.76, 1 I 3.89
5 In 0.0000 0.0000 0.0000  8 I 3.53

=====

Record 7
DFT (PBE) results for a relaxed ThGaNi crystal.

Summary:
The calculation puts the energy at -6.048 eV per atom. The formation enthalpy at 0 K is -0.639 eV per atom.

Cell: 4.0653 7.0223 7.0223 Å, 120.00 90.00 90.00°
With the nearest neighbours (Å) after each atom.
Fractional coordinates of all 9 atoms:
1 Ni 0.5000 0.0000 0.0000  6 Ga 2.62
2 Ni 0.0000 0.6667 0.3333  3 Ga 2.75, 6 Th 2.93
3 Ni 0.0000 0.3333 0.6667  3 Ga 2.75, 6 Th 2.93
4 Th 0.5000 0.4192 0.4192  5 Ni 2.93-2.94, 6 Ga 3.16-3.27
5 Th 0.5000 0.0000 0.5808  5 Ni 2.93-2.94, 6 Ga 3.16-3.27
6 Th 0.5000 0.5808 0.0000  5 Ni 2.93-2.94, 6 Ga 3.16-3.27
7 Ga 0.0000 0.7646 0.7646  4 Ni 2.62-2.75, 2 Ga 2.86
8 Ga 0.0000 0.2354 0.0000  4 Ni 2.62-2.75, 2 Ga 2.86
9 Ga 0.0000 0.0000 0.2354  4 Ni 2.62-2.75, 2 Ga 2.86

=====

Record 8
DFT (PBE) results for a relaxed SrTiAsO5 crystal.

Summary:
The value obtained for the uncorrected formation energy is -2.303 eV/atom. The calculation puts the energy at -7.180 eV per atom.

Cell: 5.8288 5.8288 7.4023 Å, 104.33 104.33 105.96°
With the nearest neighbours (Å) after each atom.
Fractional coordinates of all 16 atoms:
1 O 0.2469 0.3695 0.5899  1 As 1.80
2 O 0.9457 0.0543 0.7500  2 Ti 1.92
3 O 0.3033 0.8933 0.5991  1 As 1.84, 1 Ti 2.06
4 O 0.6305 0.7531 0.9101  1 As 1.80
5 O 0.1067 0.6967 0.9009  1 As 1.84, 1 Ti 2.06
6 O 0.0543 0.9457 0.2500  2 Ti 1.92
7 O 0.7531 0.6305 0.4101  1 As 1.80
8 O 0.3695 0.2469 0.0899  1 As 1.80
9 O 0.8933 0.3033 0.0991  1 As 1.84, 1 Ti 2.06
10 O 0.6967 0.1067 0.4009  1 As 1.84, 1 Ti 2.06
11 As 0.3145 0.6855 0.7500  4 O 1.80-1.84
12 As 0.6855 0.3145 0.2500  4 O 1.80-1.84
13 Sr 0.6766 0.3234 0.7500  7 O 2.50-2.63
14 Sr 0.3234 0.6766 0.2500  7 O 2.50-2.63
15 Ti 0.0000 0.0000 0.0000  6 O 1.92-2.06
16 Ti 0.0000 0.0000 0.5000  6 O 1.92-2.06